Below is an optimized crystal structure of ZrCr2Te, with properties calculated at the GGA-PBEsol level.

```
ZrCr2Te
1.0
3.085 0.000 0.000
0.000 3.085 0.000
0.000 0.000 6.925
Cr Te Zr
2 1 1
direct
0.000 0.000 0.044
0.500 0.500 0.217
0.000 0.000 0.451
0.500 0.500 0.787
```

Computed properties:
Fermi-level density of states, states/eV per atom: 1.25
E, eV for the cell shown: -32.27
Formation energy from raw total energies, meV per atom: 207